one) First-principles (PBE) data for a relaxed structure of TaBeFeB, as listed in OQMD.

```
data_TaBeFeB
_chemical_formula_sum 'Ta4 Be4 Fe4 B4'
_symmetry_space_group_name_H-M 'F -4 3 m'
_symmetry_Int_Tables_number 216
_symmetry_space_group_name_Hall 'F -4 2 3'
_cell_length_a 5.481
_cell_length_b 5.481
_cell_length_c 5.481
_cell_angle_alpha 90.00
_cell_angle_beta 90.00
_cell_angle_gamma 90.00
loop_
_atom_site_label
_atom_site_fract_x
_atom_site_fract_y
_atom_site_fract_z
Ta1 0.000 0.000 0.000
Be1 0.250 0.250 0.250
Fe1 0.000 0.000 0.500
B1 0.250 0.250 0.750
```


two) First-principles (PBE) data for a relaxed structure of TaBeFeB, as listed in OQMD.

```
data_TaBeFeB
_chemical_formula_sum 'Ta4 Be4 Fe4 B4'
_symmetry_space_group_name_H-M 'F -4 3 m'
_symmetry_Int_Tables_number 216
_symmetry_space_group_name_Hall 'F -4 2 3'
_cell_length_a 5.517
_cell_length_b 5.517
_cell_length_c 5.517
_cell_angle_alpha 90.00
_cell_angle_beta 90.00
_cell_angle_gamma 90.00
loop_
_atom_site_label
_atom_site_fract_x
_atom_site_fract_y
_atom_site_fract_z
Ta1 0.000 0.000 0.000
Be1 0.250 0.250 0.750
Fe1 0.250 0.250 0.250
B1 0.000 0.000 0.500
```


Which of them is the most stable? Correct choice: one).


one) First-principles (PBE) data for a relaxed structure of BeFeBW, as listed in OQMD.

```
data_BeFeBW
_chemical_formula_sum 'Be4 Fe4 B4 W4'
_symmetry_space_group_name_H-M 'F -4 3 m'
_symmetry_Int_Tables_number 216
_symmetry_space_group_name_Hall 'F -4 2 3'
_cell_length_a 5.482
_cell_length_b 5.482
_cell_length_c 5.482
_cell_angle_alpha 90.00
_cell_angle_beta 90.00
_cell_angle_gamma 90.00
loop_
_atom_site_label
_atom_site_fract_x
_atom_site_fract_y
_atom_site_fract_z
Be1 0.000 0.000 0.000
Fe1 0.000 0.000 0.500
B1 0.250 0.250 0.250
W1 0.250 0.250 0.750
```


two) First-principles (PBE) data for a relaxed structure of BeFeBW, as listed in OQMD.

```
data_BeFeBW
_chemical_formula_sum 'Be4 Fe4 B4 W4'
_symmetry_space_group_name_H-M 'F -4 3 m'
_symmetry_Int_Tables_number 216
_symmetry_space_group_name_Hall 'F -4 2 3'
_cell_length_a 5.414
_cell_length_b 5.414
_cell_length_c 5.414
_cell_angle_alpha 90.00
_cell_angle_beta 90.00
_cell_angle_gamma 90.00
loop_
_atom_site_label
_atom_site_fract_x
_atom_site_fract_y
_atom_site_fract_z
Be1 0.000 0.000 0.000
Fe1 0.250 0.250 0.750
B1 0.000 0.000 0.500
W1 0.250 0.250 0.250
```


Which of them is the most stable? Correct choice: two).


one) First-principles (PBE) data for a relaxed structure of BeGaBPd, as listed in OQMD.

```
data_BeGaBPd
_chemical_formula_sum 'Be4 Ga4 B4 Pd4'
_symmetry_space_group_name_H-M 'F -4 3 m'
_symmetry_Int_Tables_number 216
_symmetry_space_group_name_Hall 'F -4 2 3'
_cell_length_a 5.728
_cell_length_b 5.728
_cell_length_c 5.728
_cell_angle_alpha 90.00
_cell_angle_beta 90.00
_cell_angle_gamma 90.00
loop_
_atom_site_label
_atom_site_fract_x
_atom_site_fract_y
_atom_site_fract_z
Be1 0.000 0.000 0.000
Ga1 0.250 0.250 0.750
B1 0.250 0.250 0.250
Pd1 0.000 0.000 0.500
```


two) First-principles (PBE) data for a relaxed structure of BeGaBPd, as listed in OQMD.

```
data_BeGaBPd
_chemical_formula_sum 'Be4 Ga4 B4 Pd4'
_symmetry_space_group_name_H-M 'F -4 3 m'
_symmetry_Int_Tables_number 216
_symmetry_space_group_name_Hall 'F -4 2 3'
_cell_length_a 5.656
_cell_length_b 5.656
_cell_length_c 5.656
_cell_angle_alpha 90.00
_cell_angle_beta 90.00
_cell_angle_gamma 90.00
loop_
_atom_site_label
_atom_site_fract_x
_atom_site_fract_y
_atom_site_fract_z
Be1 0.000 0.000 0.000
Ga1 0.250 0.250 0.750
B1 0.000 0.000 0.500
Pd1 0.250 0.250 0.250
```


Which of them is the most stable? Correct choice: two).


one) First-principles (PBE) data for a relaxed structure of BeGaBPt, as listed in OQMD.

```
data_BeGaBPt
_chemical_formula_sum 'Be4 Ga4 B4 Pt4'
_symmetry_space_group_name_H-M 'F -4 3 m'
_symmetry_Int_Tables_number 216
_symmetry_space_group_name_Hall 'F -4 2 3'
_cell_length_a 5.808
_cell_length_b 5.808
_cell_length_c 5.808
_cell_angle_alpha 90.00
_cell_angle_beta 90.00
_cell_angle_gamma 90.00
loop_
_atom_site_label
_atom_site_fract_x
_atom_site_fract_y
_atom_site_fract_z
Be1 0.000 0.000 0.000
Ga1 0.000 0.000 0.500
B1 0.250 0.250 0.750
Pt1 0.250 0.250 0.250
```


two) First-principles (PBE) data for a relaxed structure of BeGaBPt, as listed in OQMD.

```
data_BeGaBPt
_chemical_formula_sum 'Be4 Ga4 B4 Pt4'
_symmetry_space_group_name_H-M 'F -4 3 m'
_symmetry_Int_Tables_number 216
_symmetry_space_group_name_Hall 'F -4 2 3'
_cell_length_a 5.678
_cell_length_b 5.678
_cell_length_c 5.678
_cell_angle_alpha 90.00
_cell_angle_beta 90.00
_cell_angle_gamma 90.00
loop_
_atom_site_label
_atom_site_fract_x
_atom_site_fract_y
_atom_site_fract_z
Be1 0.000 0.000 0.000
Ga1 0.250 0.250 0.750
B1 0.000 0.000 0.500
Pt1 0.250 0.250 0.250
```


Which of them is the most stable? Correct choice: two).


one) First-principles (PBE) data for a relaxed structure of BeGeBIr, as listed in OQMD.

```
data_BeGeBIr
_chemical_formula_sum 'Be4 Ge4 B4 Ir4'
_symmetry_space_group_name_H-M 'F -4 3 m'
_symmetry_Int_Tables_number 216
_symmetry_space_group_name_Hall 'F -4 2 3'
_cell_length_a 5.729
_cell_length_b 5.729
_cell_length_c 5.729
_cell_angle_alpha 90.00
_cell_angle_beta 90.00
_cell_angle_gamma 90.00
loop_
_atom_site_label
_atom_site_fract_x
_atom_site_fract_y
_atom_site_fract_z
Be1 0.000 0.000 0.000
Ge1 0.250 0.250 0.250
B1 0.250 0.250 0.750
Ir1 0.000 0.000 0.500
```


two) First-principles (PBE) data for a relaxed structure of BeGeBIr, as listed in OQMD.

```
data_BeGeBIr
_chemical_formula_sum 'Be4 Ge4 B4 Ir4'
_symmetry_space_group_name_H-M 'F -4 3 m'
_symmetry_Int_Tables_number 216
_symmetry_space_group_name_Hall 'F -4 2 3'
_cell_length_a 5.781
_cell_length_b 5.781
_cell_length_c 5.781
_cell_angle_alpha 90.00
_cell_angle_beta 90.00
_cell_angle_gamma 90.00
loop_
_atom_site_label
_atom_site_fract_x
_atom_site_fract_y
_atom_site_fract_z
Be1 0.000 0.000 0.000
Ge1 0.000 0.000 0.500
B1 0.250 0.250 0.250
Ir1 0.250 0.250 0.750
```


Which of them is the most stable? Correct choice: one).


one) First-principles (PBE) data for a relaxed structure of HfBeBIr, as listed in OQMD.

```
data_HfBeBIr
_chemical_formula_sum 'Hf4 Be4 B4 Ir4'
_symmetry_space_group_name_H-M 'F -4 3 m'
_symmetry_Int_Tables_number 216
_symmetry_space_group_name_Hall 'F -4 2 3'
_cell_length_a 5.763
_cell_length_b 5.763
_cell_length_c 5.763
_cell_angle_alpha 90.00
_cell_angle_beta 90.00
_cell_angle_gamma 90.00
loop_
_atom_site_label
_atom_site_fract_x
_atom_site_fract_y
_atom_site_fract_z
Hf1 0.000 0.000 0.000
Be1 0.250 0.250 0.750
B1 0.250 0.250 0.250
Ir1 0.000 0.000 0.500
```


two) First-principles (PBE) data for a relaxed structure of HfBeBIr, as listed in OQMD.

```
data_HfBeBIr
_chemical_formula_sum 'Hf4 Be4 B4 Ir4'
_symmetry_space_group_name_H-M 'F -4 3 m'
_symmetry_Int_Tables_number 216
_symmetry_space_group_name_Hall 'F -4 2 3'
_cell_length_a 5.960
_cell_length_b 5.960
_cell_length_c 5.960
_cell_angle_alpha 90.00
_cell_angle_beta 90.00
_cell_angle_gamma 90.00
loop_
_atom_site_label
_atom_site_fract_x
_atom_site_fract_y
_atom_site_fract_z
Hf1 0.000 0.000 0.000
Be1 0.000 0.000 0.500
B1 0.250 0.250 0.750
Ir1 0.250 0.250 0.250
```


three) First-principles (PBE) data for a relaxed structure of HfBeBIr, as listed in OQMD.

```
data_HfBeBIr
_chemical_formula_sum 'Hf4 Be4 B4 Ir4'
_symmetry_space_group_name_H-M 'F -4 3 m'
_symmetry_Int_Tables_number 216
_symmetry_space_group_name_Hall 'F -4 2 3'
_cell_length_a 5.913
_cell_length_b 5.913
_cell_length_c 5.913
_cell_angle_alpha 90.00
_cell_angle_beta 90.00
_cell_angle_gamma 90.00
loop_
_atom_site_label
_atom_site_fract_x
_atom_site_fract_y
_atom_site_fract_z
Hf1 0.000 0.000 0.000
Be1 0.250 0.250 0.750
B1 0.000 0.000 0.500
Ir1 0.250 0.250 0.250
```


Which of them is the most stable? Correct choice: one).


one) First-principles (PBE) data for a relaxed structure of BeNiHgB, as listed in OQMD.

```
data_BeNiHgB
_chemical_formula_sum 'Be4 Ni4 Hg4 B4'
_symmetry_space_group_name_H-M 'F -4 3 m'
_symmetry_Int_Tables_number 216
_symmetry_space_group_name_Hall 'F -4 2 3'
_cell_length_a 5.775
_cell_length_b 5.775
_cell_length_c 5.775
_cell_angle_alpha 90.00
_cell_angle_beta 90.00
_cell_angle_gamma 90.00
loop_
_atom_site_label
_atom_site_fract_x
_atom_site_fract_y
_atom_site_fract_z
Be1 0.000 0.000 0.000
Ni1 0.000 0.000 0.500
Hg1 0.250 0.250 0.750
B1 0.250 0.250 0.250
```


two) First-principles (PBE) data for a relaxed structure of BeNiHgB, as listed in OQMD.

```
data_BeNiHgB
_chemical_formula_sum 'Be4 Ni4 Hg4 B4'
_symmetry_space_group_name_H-M 'F -4 3 m'
_symmetry_Int_Tables_number 216
_symmetry_space_group_name_Hall 'F -4 2 3'
_cell_length_a 5.658
_cell_length_b 5.658
_cell_length_c 5.658
_cell_angle_alpha 90.00
_cell_angle_beta 90.00
_cell_angle_gamma 90.00
loop_
_atom_site_label
_atom_site_fract_x
_atom_site_fract_y
_atom_site_fract_z
Be1 0.000 0.000 0.000
Ni1 0.250 0.250 0.750
Hg1 0.250 0.250 0.250
B1 0.000 0.000 0.500
```


Which of them is the most stable? Correct choice: two).


one) First-principles (PBE) data for a relaxed structure of HoBeB4, as listed in OQMD.

```
data_HoBeB4
_chemical_formula_sum 'Ho1 Be1 B4'
_symmetry_space_group_name_H-M 'P 6/m m m'
_symmetry_Int_Tables_number 191
_symmetry_space_group_name_Hall '-P 6 2'
_cell_length_a 3.1040
_cell_length_b 3.1040
_cell_length_c 6.6499
_cell_angle_alpha 90.00
_cell_angle_beta 90.00
_cell_angle_gamma 120.00
loop_
_atom_site_label
_atom_site_fract_x
_atom_site_fract_y
_atom_site_fract_z
Ho1 0.0000 0.0000 0.0000
Be1 0.0000 0.0000 0.5000
B1 0.3333 0.6667 0.2948
```


two) First-principles (PBE) data for a relaxed structure of HoBeB4, as listed in OQMD.

```
data_HoBeB4
_chemical_formula_sum 'Ho2 Be2 B8'
_symmetry_space_group_name_H-M 'I m m m'
_symmetry_Int_Tables_number 71
_symmetry_space_group_name_Hall '-I 2 2'
_cell_length_a 3.160
_cell_length_b 5.193
_cell_length_c 7.454
_cell_angle_alpha 90.00
_cell_angle_beta 90.00
_cell_angle_gamma 90.00
loop_
_atom_site_label
_atom_site_fract_x
_atom_site_fract_y
_atom_site_fract_z
Ho1 0.000 0.000 0.000
Be1 0.000 0.000 0.500
B1 0.000 0.326 0.259
```


Which of them is the most stable? Correct choice: one).


one) First-principles (PBE) data for a relaxed structure of BeInNiB, as listed in OQMD.

```
data_BeInNiB
_chemical_formula_sum 'Be4 In4 Ni4 B4'
_symmetry_space_group_name_H-M 'F -4 3 m'
_symmetry_Int_Tables_number 216
_symmetry_space_group_name_Hall 'F -4 2 3'
_cell_length_a 5.685
_cell_length_b 5.685
_cell_length_c 5.685
_cell_angle_alpha 90.00
_cell_angle_beta 90.00
_cell_angle_gamma 90.00
loop_
_atom_site_label
_atom_site_fract_x
_atom_site_fract_y
_atom_site_fract_z
Be1 0.000 0.000 0.000
In1 0.250 0.250 0.750
Ni1 0.250 0.250 0.250
B1 0.000 0.000 0.500
```


two) First-principles (PBE) data for a relaxed structure of BeInNiB, as listed in OQMD.

```
data_BeInNiB
_chemical_formula_sum 'Be4 In4 Ni4 B4'
_symmetry_space_group_name_H-M 'F -4 3 m'
_symmetry_Int_Tables_number 216
_symmetry_space_group_name_Hall 'F -4 2 3'
_cell_length_a 5.756
_cell_length_b 5.756
_cell_length_c 5.756
_cell_angle_alpha 90.00
_cell_angle_beta 90.00
_cell_angle_gamma 90.00
loop_
_atom_site_label
_atom_site_fract_x
_atom_site_fract_y
_atom_site_fract_z
Be1 0.000 0.000 0.000
In1 0.250 0.250 0.750
Ni1 0.000 0.000 0.500
B1 0.250 0.250 0.250
```


Which of them is the most stable? Correct choice: one).


one) First-principles (PBE) data for a relaxed structure of BeB4Ir, as listed in OQMD.

```
data_BeB4Ir
_chemical_formula_sum 'Be2 B8 Ir2'
_symmetry_space_group_name_H-M 'I m m m'
_symmetry_Int_Tables_number 71
_symmetry_space_group_name_Hall '-I 2 2'
_cell_length_a 2.936
_cell_length_b 5.165
_cell_length_c 6.494
_cell_angle_alpha 90.00
_cell_angle_beta 90.00
_cell_angle_gamma 90.00
loop_
_atom_site_label
_atom_site_fract_x
_atom_site_fract_y
_atom_site_fract_z
Be1 0.000 0.000 0.000
B1 0.000 0.335 0.267
Ir1 0.000 0.000 0.500
```


two) First-principles (PBE) data for a relaxed structure of BeB4Ir, as listed in OQMD.

```
data_BeB4Ir
_chemical_formula_sum 'Be1 B4 Ir1'
_symmetry_space_group_name_H-M 'P 6/m m m'
_symmetry_Int_Tables_number 191
_symmetry_space_group_name_Hall '-P 6 2'
_cell_length_a 2.9522
_cell_length_b 2.9522
_cell_length_c 6.4491
_cell_angle_alpha 90.00
_cell_angle_beta 90.00
_cell_angle_gamma 120.00
loop_
_atom_site_label
_atom_site_fract_x
_atom_site_fract_y
_atom_site_fract_z
Be1 0.0000 0.0000 0.0000
B1 0.3333 0.6667 0.2166
Ir1 0.0000 0.0000 0.5000
```


Which of them is the most stable? Correct choice: one).


one) First-principles (PBE) data for a relaxed structure of BeSiBIr, as listed in OQMD.

```
data_BeSiBIr
_chemical_formula_sum 'Be4 Si4 B4 Ir4'
_symmetry_space_group_name_H-M 'F -4 3 m'
_symmetry_Int_Tables_number 216
_symmetry_space_group_name_Hall 'F -4 2 3'
_cell_length_a 5.584
_cell_length_b 5.584
_cell_length_c 5.584
_cell_angle_alpha 90.00
_cell_angle_beta 90.00
_cell_angle_gamma 90.00
loop_
_atom_site_label
_atom_site_fract_x
_atom_site_fract_y
_atom_site_fract_z
Be1 0.000 0.000 0.000
Si1 0.250 0.250 0.250
B1 0.250 0.250 0.750
Ir1 0.000 0.000 0.500
```


two) First-principles (PBE) data for a relaxed structure of BeSiBIr, as listed in OQMD.

```
data_BeSiBIr
_chemical_formula_sum 'Be4 Si4 B4 Ir4'
_symmetry_space_group_name_H-M 'F -4 3 m'
_symmetry_Int_Tables_number 216
_symmetry_space_group_name_Hall 'F -4 2 3'
_cell_length_a 5.597
_cell_length_b 5.597
_cell_length_c 5.597
_cell_angle_alpha 90.00
_cell_angle_beta 90.00
_cell_angle_gamma 90.00
loop_
_atom_site_label
_atom_site_fract_x
_atom_site_fract_y
_atom_site_fract_z
Be1 0.000 0.000 0.000
Si1 0.000 0.000 0.500
B1 0.250 0.250 0.250
Ir1 0.250 0.250 0.750
```


Which of them is the most stable? Correct choice: one).


one) First-principles (PBE) data for a relaxed structure of LaBeNiB, as listed in OQMD.

```
data_LaBeNiB
_chemical_formula_sum 'La4 Be4 Ni4 B4'
_symmetry_space_group_name_H-M 'F -4 3 m'
_symmetry_Int_Tables_number 216
_symmetry_space_group_name_Hall 'F -4 2 3'
_cell_length_a 6.176
_cell_length_b 6.176
_cell_length_c 6.176
_cell_angle_alpha 90.00
_cell_angle_beta 90.00
_cell_angle_gamma 90.00
loop_
_atom_site_label
_atom_site_fract_x
_atom_site_fract_y
_atom_site_fract_z
La1 0.000 0.000 0.000
Be1 0.250 0.250 0.250
Ni1 0.250 0.250 0.750
B1 0.000 0.000 0.500
```


two) First-principles (PBE) data for a relaxed structure of LaBeNiB, as listed in OQMD.

```
data_LaBeNiB
_chemical_formula_sum 'La4 Be4 Ni4 B4'
_symmetry_space_group_name_H-M 'F -4 3 m'
_symmetry_Int_Tables_number 216
_symmetry_space_group_name_Hall 'F -4 2 3'
_cell_length_a 6.176
_cell_length_b 6.176
_cell_length_c 6.176
_cell_angle_alpha 90.00
_cell_angle_beta 90.00
_cell_angle_gamma 90.00
loop_
_atom_site_label
_atom_site_fract_x
_atom_site_fract_y
_atom_site_fract_z
La1 0.000 0.000 0.000
Be1 0.250 0.250 0.250
Ni1 0.000 0.000 0.500
B1 0.250 0.250 0.750
```


three) First-principles (PBE) data for a relaxed structure of LaBeNiB, as listed in OQMD.

```
data_LaBeNiB
_chemical_formula_sum 'La4 Be4 Ni4 B4'
_symmetry_space_group_name_H-M 'F -4 3 m'
_symmetry_Int_Tables_number 216
_symmetry_space_group_name_Hall 'F -4 2 3'
_cell_length_a 6.250
_cell_length_b 6.250
_cell_length_c 6.250
_cell_angle_alpha 90.00
_cell_angle_beta 90.00
_cell_angle_gamma 90.00
loop_
_atom_site_label
_atom_site_fract_x
_atom_site_fract_y
_atom_site_fract_z
La1 0.000 0.000 0.000
Be1 0.000 0.000 0.500
Ni1 0.250 0.250 0.750
B1 0.250 0.250 0.250
```


Which of them is the most stable? Correct choice: two).